ThCdSbAu | GGA-PBE | relaxed

Cell: 5.2303 5.2303 5.2303 Å, 60.00 60.00 60.00°
Last column: nearest neighbours and their distance in Å.
Atoms (fractional coordinates):
Sb  0.2500  0.2500  0.2500  4 Cd 3.20, 4 Th 3.20
Au  0.7500  0.7500  0.7500  4 Cd 3.20, 4 Th 3.20
Th  0.5000  0.5000  0.5000  4 Sb 3.20, 4 Au 3.20
Cd  0.0000  0.0000  0.0000  4 Sb 3.20, 4 Au 3.20

Values from the calculation:
**SG**: F-43m, No. 216
**Calculated density**: 10.88 Mg/m³
**Total DFT energy (no corrections)**: -17.32 eV for the cell shown